No. 1
Below is an optimized crystal structure of K2BaMn, with properties calculated at the GGA-PBE level.

Output
Energy relative to the elements, eV per formula unit: 2.4
Total energy, eV per formula unit: -10.879

Lattice parameters (Å, degrees): 4.389 6.939 13.820 90.00 90.00 90.00
Space group Imm2 (No. 44)
Unique sites:
1 K 0.000 0.000 0.000
2 K 0.000 0.500 0.197
3 Ba 0.000 0.500 0.807
4 Mn 0.000 0.000 0.492

No. 2
Below is an optimized crystal structure of Mg2AsCl, with properties calculated at the GGA-PBE level.

Output
Energy relative to the elements, uncorrected, kJ/mol of formula units: -265
Total energy, eV per formula unit: -12.437

Lattice parameters (Å, degrees): 7.624 7.250 3.651 90.00 118.00 90.00
Space group C2/m (No. 12)
Unique sites:
1 Mg 0.250 0.250 0.000
2 As 0.000 0.000 0.500
3 Cl 0.000 0.500 0.500

No. 3
Below is an optimized crystal structure of Ce3LuFe, with properties calculated at the GGA-PBE level.

Output
Energy relative to the elements, eV per formula unit: 0.5
Total energy, eV per formula unit: -30.246

Lattice parameters (Å, degrees): 5.166 5.166 5.166 90.00 90.00 90.00
Space group Pm-3m (No. 221)
Unique sites:
1 Ce 0.000 0.000 0.500
2 Lu 0.500 0.500 0.500
3 Fe 0.000 0.000 0.000

No. 4
Below is an optimized crystal structure of PuPa2Ga2, with properties calculated at the GGA-PBE level.

Output
Energy relative to the elements, eV per formula unit: -0.2
Total energy, eV per formula unit: -39.620

Lattice parameters (Å, degrees): 8.669 8.669 3.124 90.00 90.00 90.00
Space group P4/mbm (No. 127)
Unique sites:
1 Pu 0.000 0.000 0.000
2 Pa 0.112 0.388 0.000
3 Ga 0.183 0.683 0.500

No. 5
Below is an optimized crystal structure of MgBe2Hg, with properties calculated at the GGA-PBE level.

Output
Energy relative to the elements, eV per formula unit: 1.0
Total energy, eV per formula unit: -8.319

Lattice parameters (Å, degrees): 6.905 3.994 5.077 90.00 116.70 90.00
Space group Cm (No. 8)
Unique sites:
1 Mg 0.000 0.000 0.000
2 Be 0.052 0.500 0.657
3 Be 0.206 0.000 0.620
4 Hg 0.293 0.500 0.381

No. 6
Below is an optimized crystal structure of Pu3As4Rh7, with properties calculated at the GGA-PBE level.

Output
Energy relative to the elements, eV per formula unit: -9.8
Total energy, eV per formula unit: -122.856

Lattice parameters (Å, degrees): 15.400 4.045 9.528 90.00 125.31 90.00
Space group C2/m (No. 12)
Unique sites:
1 Pu 0.000 0.000 0.000
2 Pu 0.173 0.500 0.670
3 As 0.108 0.000 0.832
4 As 0.163 0.500 0.266
5 Rh 0.000 0.000 0.500
6 Rh 0.009 0.500 0.290
7 Rh 0.167 0.000 0.429
8 Rh 0.196 0.500 0.038

No. 7
Below is an optimized crystal structure of HfFeS2Cl, with properties calculated at the GGA-PBE level.

Output
Energy relative to the elements, uncorrected, kJ/mol of formula units: -136
Total energy, eV per formula unit: -29.924

Lattice parameters (Å, degrees): 4.954 4.954 4.881 90.00 90.00 90.00
Space group P4/mmm (No. 123)
Unique sites:
1 Hf 0.000 0.000 0.000
2 Fe 0.500 0.500 0.500
3 S 0.000 0.500 0.000
4 Cl 0.000 0.000 0.500

No. 8
Below is an optimized crystal structure of MnAlNiAu, with properties calculated at the GGA-PBE level.

Output
Energy relative to the elements, eV per formula unit: -1.0
Total energy, eV per formula unit: -22.971

Lattice parameters (Å, degrees): 6.125 6.125 6.125 90.00 90.00 90.00
Space group F-43m (No. 216)
Unique sites:
1 Mn 0.000 0.000 0.000
2 Al 0.000 0.000 0.500
3 Ni 0.250 0.250 0.750
4 Au 0.250 0.250 0.250

No. 9
Below is an optimized crystal structure of Tc2IrOs, with properties calculated at the GGA-PBE level.

Output
Energy relative to the elements, eV per formula unit: -0.3
Total energy, eV per formula unit: -41.129

Lattice parameters (Å, degrees): 2.727 2.727 7.770 90.00 90.00 90.00
Space group P4/mmm (No. 123)
Unique sites:
1 Tc 0.000 0.000 0.248
2 Ir 0.500 0.500 0.500
3 Os 0.500 0.500 0.000

No. 10
Below is an optimized crystal structure of Zr3Ti4Sn4, with properties calculated at the GGA-PBE level.

Output
Energy relative to the elements, eV per formula unit: -3.4
Total energy, eV per formula unit: -76.598

Lattice parameters (Å, degrees): 3.667 8.571 14.948 90.00 90.00 90.00
Space group Immm (No. 71)
Unique sites:
1 Zr 0.000 0.000 0.000
2 Zr 0.000 0.500 0.123
3 Ti 0.000 0.278 0.323
4 Sn 0.000 0.000 0.217
5 Sn 0.000 0.201 0.500

No. 11
Below is an optimized crystal structure of RhPbO4, with properties calculated at the GGA-PBE level.

Output
Energy relative to the elements, uncorrected, kJ/mol of formula units: -397
Total energy, eV per formula unit: -35.012

Lattice parameters (Å, degrees): 7.325 8.494 6.111 90.00 117.65 90.00
Space group C2/c (No. 15)
Unique sites:
1 Rh 0.000 0.012 0.250
2 Pb 0.000 0.383 0.750
3 O 0.025 0.153 0.984
4 O 0.201 0.467 0.576

No. 12
Below is an optimized crystal structure of PuSbH, with properties calculated at the GGA-PBE level.

Output
Total energy, eV per formula unit: -23.141

Lattice parameters (Å, degrees): 3.7970 3.7970 4.6525 90.00 90.00 120.00
Space group P-6m2 (No. 187)
Unique sites:
1 Pu 0.0000 0.0000 0.0000
2 Sb 0.6667 0.3333 0.5000
3 H 0.3333 0.6667 0.0000

No. 13
Below is an optimized crystal structure of FeSBr2, with properties calculated at the GGA-PBE level.

Output
Energy relative to the elements, uncorrected, kJ/mol of formula units: 312
Total energy, eV per formula unit: -12.702

Lattice parameters (Å, degrees): 6.847 6.847 6.847 90.00 90.00 90.00
Space group Fm-3m (No. 225)
Unique sites:
1 Fe 0.000 0.000 0.000
2 S 0.000 0.000 0.500
3 Br 0.250 0.250 0.250

No. 14
Below is an optimized crystal structure of Cs3NdTh3Te8, with properties calculated at the GGA-PBE level.

Output
Energy relative to the elements, uncorrected, kJ/mol of formula units: -1817
Total energy, eV per formula unit: -73.555

Lattice parameters (Å, degrees): 9.0435 9.0435 27.6963 90.00 90.00 120.00
Space group R-3m (No. 166, hexagonal axes)
Unique sites:
1 Cs 0.0000 0.5000 0.0000
2 Nd 0.0000 0.0000 0.5000
3 Th 0.0000 0.5000 0.5000
4 Te 0.0000 0.0000 0.2331
5 Te 0.0058 0.5029 0.7676

No. 15
Below is an optimized crystal structure of BaMgAgAs2, with properties calculated at the GGA-PBE level.

Output
Energy relative to the elements, eV per formula unit: -3.4
Total energy, eV per formula unit: -19.042

Lattice parameters (Å, degrees): 4.400 4.400 12.847 90.00 90.00 90.00
Space group I-4m2 (No. 119)
Unique sites:
1 Ba 0.000 0.000 0.000
2 Mg 0.000 0.500 0.250
3 Ag 0.000 0.500 0.750
4 As 0.000 0.000 0.376

No. 16
Below is an optimized crystal structure of LaTm7Th2, with properties calculated at the GGA-PBE level.

Output
Energy relative to the elements, eV per formula unit: 0.3
Total energy, eV per formula unit: -50.754

Lattice parameters (Å, degrees): 6.069 6.151 9.317 102.78 108.60 99.60
Space group P-1 (No. 2)
Unique sites:
1 La 0.000 0.000 0.000
2 Tm 0.000 0.500 0.500
3 Tm 0.201 0.104 0.700
4 Tm 0.395 0.691 0.900
5 Tm 0.403 0.201 0.403
6 Th 0.200 0.598 0.203

No. 17
Below is an optimized crystal structure of Rb8I3Cl3O, with properties calculated at the GGA-PBE level.

Output
Energy relative to the elements, uncorrected, kJ/mol of formula units: -2259
Total energy, eV per formula unit: -46.297

Lattice parameters (Å, degrees): 9.6664 9.6664 25.2755 90.00 90.00 120.00
Space group R-3m (No. 166, hexagonal axes)
Unique sites:
1 Rb 0.0000 0.0000 0.2398
2 Rb 0.0531 0.5265 0.2291
3 I 0.0000 0.5000 0.0000
4 Cl 0.0000 0.5000 0.5000
5 O 0.0000 0.0000 0.5000

No. 18
Below is an optimized crystal structure of AlGa2Ir4, with properties calculated at the GGA-PBE level.

Output
Energy relative to the elements, eV per formula unit: -2.1
Total energy, eV per formula unit: -47.302

Lattice parameters (Å, degrees): 5.950 5.950 5.982 90.00 90.00 90.00
Space group I4/mmm (No. 139)
Unique sites:
1 Al 0.000 0.000 0.000
2 Ga 0.000 0.500 0.000
3 Ir 0.250 0.250 0.250

No. 19
Below is an optimized crystal structure of K4TmTe3O12, with properties calculated at the GGA-PBE level.

Output
Energy relative to the elements, uncorrected, kJ/mol of formula units: -3038
Total energy, eV per formula unit: -109.274

Lattice parameters (Å, degrees): 8.217 8.217 8.217 90.00 90.00 90.00
Space group Im-3m (No. 229)
Unique sites:
1 K 0.250 0.250 0.250
2 Tm 0.000 0.000 0.000
3 Te 0.000 0.000 0.500
4 O 0.000 0.000 0.267
5 O 0.000 0.250 0.500

No. 20
Below is an optimized crystal structure of NpZn2Cl8, with properties calculated at the GGA-PBE level.

Output
Energy relative to the elements, uncorrected, kJ/mol of formula units: -1361
Total energy, eV per formula unit: -44.367

Lattice parameters (Å, degrees): 13.754 8.183 6.346 90.00 94.17 90.00
Space group C2/m (No. 12)
Unique sites:
1 Np 0.000 0.000 0.000
2 Zn 0.186 0.000 0.641
3 Cl 0.088 0.213 0.768
4 Cl 0.155 0.000 0.267
5 Cl 0.159 0.500 0.283